ErLuOsRu: optimized geometry, PBE-GGA.

a b c (Å): 4.7456 4.7456 4.7456
angles (deg): 60.00 60.00 60.00
Closest atoms and distances in Å follow each position.
Sites, in units of the cell vectors:
Ru (0.5000, 0.5000, 0.5000)  4 Er 2.91, 4 Lu 2.91
Lu (0.7500, 0.7500, 0.7500)  4 Os 2.91, 4 Ru 2.91
Os (0.0000, 0.0000, 0.0000)  4 Lu 2.91, 4 Er 2.91
Er (0.2500, 0.2500, 0.2500)  4 Os 2.91, 4 Ru 2.91

VASP energy: -7.6782 eV/atom
E_form: -280.9 meV/atom
Space-group type: F-43m, No. 216

***

TbErLuOs: optimized geometry, PBE-GGA.

a b c (Å): 5.0844 5.0844 5.0844
angles (deg): 60.00 60.00 60.00
Closest atoms and distances in Å follow each position.
Sites, in units of the cell vectors:
Tb (0.5000, 0.5000, 0.5000)  4 Lu 3.11, 4 Os 3.11
Lu (0.7500, 0.7500, 0.7500)  4 Tb 3.11, 4 Er 3.11
Os (0.2500, 0.2500, 0.2500)  4 Tb 3.11, 4 Er 3.11
Er (0.0000, 0.0000, 0.0000)  4 Os 3.11, 4 Lu 3.11

VASP energy: -6.1552 eV/atom
E_form: 80.8 meV/atom
Space-group type: F-43m, No. 216

***

ErLuTlOs: optimized geometry, PBE-GGA.

a b c (Å): 4.9928 4.9928 4.9928
angles (deg): 60.00 60.00 60.00
Closest atoms and distances in Å follow each position.
Sites, in units of the cell vectors:
Tl (0.0000, 0.0000, 0.0000)  4 Er 3.06, 4 Lu 3.06
Lu (0.7500, 0.7500, 0.7500)  4 Tl 3.06, 4 Os 3.06
Os (0.5000, 0.5000, 0.5000)  4 Er 3.06, 4 Lu 3.06
Er (0.2500, 0.2500, 0.2500)  4 Tl 3.06, 4 Os 3.06

VASP energy: -5.8505 eV/atom
E_form: -180.6 meV/atom
Space-group type: F-43m, No. 216

***

ErTmLuOs: optimized geometry, PBE-GGA.

a b c (Å): 5.0474 5.0474 5.0474
angles (deg): 60.00 60.00 60.00
Closest atoms and distances in Å follow each position.
Sites, in units of the cell vectors:
Tm (0.2500, 0.2500, 0.2500)  4 Os 3.09, 4 Lu 3.09
Lu (0.5000, 0.5000, 0.5000)  4 Tm 3.09, 4 Er 3.09
Os (0.0000, 0.0000, 0.0000)  4 Er 3.09, 4 Tm 3.09
Er (0.7500, 0.7500, 0.7500)  4 Lu 3.09, 4 Os 3.09

VASP energy: -6.1501 eV/atom
E_form: 46.2 meV/atom
Space-group type: F-43m, No. 216

***

ErLuP: optimized geometry, PBE-GGA.

a b c (Å): 3.8337 3.8337 6.1956
angles (deg): 90.00 90.00 120.00
Closest atoms and distances in Å follow each position.
Sites, in units of the cell vectors:
P (0.6667, 0.3333, 0.3310)  3 Lu 2.70, 3 Er 2.72
Lu (0.0000, 0.0000, 0.0815)  3 P 2.70
Er (0.3333, 0.6667, 0.5875)  3 P 2.72

VASP energy: -5.7801 eV/atom
E_form: -948.9 meV/atom
Space-group type: P3m1, No. 156

***

Er2LuP: optimized geometry, PBE-GGA.

a b c (Å): 3.6874 3.6874 10.1653
angles (deg): 79.55 79.55 60.00
Closest atoms and distances in Å follow each position.
Sites, in units of the cell vectors:
P (0.5000, 0.5000, 0.5000)  6 Er 2.68
Lu (0.0000, 0.0000, 0.0000)  2 Er 3.35, 6 Lu 3.69
Er (0.1122, 0.1122, 0.6633)  3 P 2.68
Er (0.8878, 0.8878, 0.3367)  3 P 2.68

VASP energy: -5.2293 eV/atom
E_form: -465.1 meV/atom
Space-group type: R-3m, No. 166

***

PmErLuPa: optimized geometry, PBE-GGA.

a b c (Å): 5.5552 5.5552 5.5552
angles (deg): 60.00 60.00 60.00
Closest atoms and distances in Å follow each position.
Sites, in units of the cell vectors:
Er (0.5000, 0.5000, 0.5000)  4 Lu 3.40, 4 Pa 3.40
Pa (0.7500, 0.7500, 0.7500)  4 Pm 3.40, 4 Er 3.40
Lu (0.2500, 0.2500, 0.2500)  4 Er 3.40, 4 Pm 3.40
Pm (0.0000, 0.0000, 0.0000)  4 Pa 3.40, 4 Lu 3.40

VASP energy: -5.4634 eV/atom
E_form: 369.2 meV/atom
Space-group type: F-43m, No. 216

***

ErLuScPa: optimized geometry, PBE-GGA.

a b c (Å): 5.3768 5.3768 5.3768
angles (deg): 60.00 60.00 60.00
Closest atoms and distances in Å follow each position.
Sites, in units of the cell vectors:
Sc (0.0000, 0.0000, 0.0000)  4 Pa 3.29, 4 Lu 3.29
Pa (0.2500, 0.2500, 0.2500)  4 Er 3.29, 4 Sc 3.29
Lu (0.7500, 0.7500, 0.7500)  4 Sc 3.29, 4 Er 3.29
Er (0.5000, 0.5000, 0.5000)  4 Lu 3.29, 4 Pa 3.29

VASP energy: -5.9542 eV/atom
E_form: 273.6 meV/atom
Space-group type: F-43m, No. 216

***

ErLuPaSn: optimized geometry, PBE-GGA.

a b c (Å): 5.2803 5.2803 5.2803
angles (deg): 60.00 60.00 60.00
Closest atoms and distances in Å follow each position.
Sites, in units of the cell vectors:
Pa (0.7500, 0.7500, 0.7500)  4 Er 3.23, 4 Lu 3.23
Lu (0.0000, 0.0000, 0.0000)  4 Pa 3.23, 4 Sn 3.23
Sn (0.2500, 0.2500, 0.2500)  4 Er 3.23, 4 Lu 3.23
Er (0.5000, 0.5000, 0.5000)  4 Pa 3.23, 4 Sn 3.23

VASP energy: -5.6145 eV/atom
E_form: 31.1 meV/atom
Space-group type: F-43m, No. 216

***

TbErLuPa: optimized geometry, PBE-GGA.

a b c (Å): 5.5155 5.5155 5.5155
angles (deg): 60.00 60.00 60.00
Closest atoms and distances in Å follow each position.
Sites, in units of the cell vectors:
Tb (0.0000, 0.0000, 0.0000)  4 Lu 3.38, 4 Pa 3.38
Pa (0.7500, 0.7500, 0.7500)  4 Tb 3.38, 4 Er 3.38
Lu (0.2500, 0.2500, 0.2500)  4 Er 3.38, 4 Tb 3.38
Er (0.5000, 0.5000, 0.5000)  4 Pa 3.38, 4 Lu 3.38

VASP energy: -5.4541 eV/atom
E_form: 348.4 meV/atom
Space-group type: F-43m, No. 216

***

ErTmLuPa: optimized geometry, PBE-GGA.

a b c (Å): 5.4795 5.4795 5.4795
angles (deg): 60.00 60.00 60.00
Closest atoms and distances in Å follow each position.
Sites, in units of the cell vectors:
Tm (0.2500, 0.2500, 0.2500)  4 Pa 3.36, 4 Lu 3.36
Pa (0.0000, 0.0000, 0.0000)  4 Tm 3.36, 4 Er 3.36
Lu (0.5000, 0.5000, 0.5000)  4 Tm 3.36, 4 Er 3.36
Er (0.7500, 0.7500, 0.7500)  4 Pa 3.36, 4 Lu 3.36

VASP energy: -5.4422 eV/atom
E_form: 320.6 meV/atom
Space-group type: F-43m, No. 216

***

ErLuZrPa: optimized geometry, PBE-GGA.

a b c (Å): 5.3244 5.3244 5.3244
angles (deg): 60.00 60.00 60.00
Closest atoms and distances in Å follow each position.
Sites, in units of the cell vectors:
Pa (0.7500, 0.7500, 0.7500)  4 Er 3.26, 4 Zr 3.26
Lu (0.2500, 0.2500, 0.2500)  4 Zr 3.26, 4 Er 3.26
Zr (0.5000, 0.5000, 0.5000)  4 Pa 3.26, 4 Lu 3.26
Er (0.0000, 0.0000, 0.0000)  4 Lu 3.26, 4 Pa 3.26

VASP energy: -6.5000 eV/atom
E_form: 282.0 meV/atom
Space-group type: F-43m, No. 216

***

ErLuPb2: optimized geometry, PBE-GGA.

a b c (Å): 3.5180 3.5180 8.8424
angles (deg): 90.00 90.00 90.00
Closest atoms and distances in Å follow each position.
Sites, in units of the cell vectors:
Pb (0.0000, 0.0000, 0.7477)  4 Lu 3.31, 4 Er 3.34, 4 Pb 3.52
Pb (0.0000, 0.0000, 0.2523)  4 Lu 3.31, 4 Er 3.34, 4 Pb 3.52
Lu (0.5000, 0.5000, 0.5000)  8 Pb 3.31, 4 Lu 3.52
Er (0.5000, 0.5000, 0.0000)  8 Pb 3.34, 4 Er 3.52

VASP energy: -4.4854 eV/atom
E_form: -360.3 meV/atom
Space-group type: P4/mmm, No. 123

***

Er2LuPb: optimized geometry, PBE-GGA.

a b c (Å): 3.4943 3.4943 12.0227
angles (deg): 81.64 81.64 60.00
Closest atoms and distances in Å follow each position.
Sites, in units of the cell vectors:
Pb (0.0000, 0.0000, 0.0000)  2 Er 3.16, 6 Pb 3.49
Lu (0.5000, 0.5000, 0.5000)  6 Er 3.42, 6 Lu 3.49
Er (0.0889, 0.0889, 0.7334)  1 Pb 3.16, 3 Lu 3.42, 6 Er 3.49
Er (0.9111, 0.9111, 0.2666)  1 Pb 3.16, 3 Lu 3.42, 6 Er 3.49

VASP energy: -4.2882 eV/atom
E_form: 50.5 meV/atom
Space-group type: R-3m, No. 166

***

ErLu2Pb: optimized geometry, PBE-GGA.

a b c (Å): 4.7782 4.7988 4.7988
angles (deg): 90.00 90.00 90.00
Closest atoms and distances in Å follow each position.
Sites, in units of the cell vectors:
Pb (0.5000, 0.0000, 0.0000)  8 Lu 3.39, 4 Er 3.39
Lu (0.0000, 0.0000, 0.5000)  4 Er 3.39, 4 Pb 3.39, 4 Lu 3.39
Lu (0.0000, 0.5000, 0.0000)  4 Pb 3.39, 4 Er 3.39, 4 Lu 3.39
Er (0.5000, 0.5000, 0.5000)  8 Lu 3.39, 4 Pb 3.39

VASP energy: -4.5564 eV/atom
E_form: -228.1 meV/atom
Space-group type: P4/mmm, No. 123

***

ErLuPb2: optimized geometry, PBE-GGA.

a b c (Å): 4.3509 5.0390 5.0390
angles (deg): 90.00 90.00 90.00
Closest atoms and distances in Å follow each position.
Sites, in units of the cell vectors:
Pb (0.0000, 0.0000, 0.5000)  4 Er 3.33, 4 Lu 3.33, 4 Pb 3.56
Pb (0.0000, 0.5000, 0.0000)  4 Er 3.33, 4 Lu 3.33, 4 Pb 3.56
Lu (0.5000, 0.0000, 0.0000)  8 Pb 3.33, 4 Er 3.56
Er (0.5000, 0.5000, 0.5000)  8 Pb 3.33, 4 Lu 3.56

VASP energy: -4.4813 eV/atom
E_form: -356.2 meV/atom
Space-group type: P4/mmm, No. 123